No. 1
## Ba2MnSnTe5 (GGA-PBE)

Data for crystalline Ba2MnSnTe5 at its relaxed geometry.

Cell and atoms, written as CIF:
```
data_Ba2MnSnTe5
_chemical_formula_sum 'Ba8 Mn4 Sn4 Te20'
_cell_length_a 4.440
_cell_length_b 21.713
_cell_length_c 13.657
_cell_angle_alpha 90.00
_cell_angle_beta 90.00
_cell_angle_gamma 90.00
_space_group_name_H-M_alt 'C m c 21'
_space_group_IT_number 36
loop_
_space_group_symop_operation_xyz
'x,y,z'
'-x,-y,z+1/2'
'-x,y,z'
'x,-y,z+1/2'
'x+1/2,y+1/2,z'
'-x+1/2,-y+1/2,z+1/2'
'-x+1/2,y+1/2,z'
'x+1/2,-y+1/2,z+1/2'
loop_
_atom_site_label
_atom_site_type_symbol
_atom_site_fract_x
_atom_site_fract_y
_atom_site_fract_z
Ba1 Ba 0.000 0.125 0.000
Ba2 Ba 0.000 0.128 0.381
Mn1 Mn 0.000 0.227 0.725
Sn1 Sn 0.000 0.433 0.146
Te1 Te 0.000 0.034 0.769
Te2 Te 0.000 0.289 0.355
Te3 Te 0.000 0.310 0.081
Te4 Te 0.000 0.350 0.691
Te5 Te 0.000 0.495 0.965
```

Summary:
The final energy comes out at -4.4788 eV per atom.

No. 2
## KMgReCl2 (GGA-PBE)

Data for crystalline KMgReCl2 at its relaxed geometry.

Cell and atoms, written as CIF:
```
data_KMgReCl2
_chemical_formula_sum 'K1 Mg1 Re1 Cl2'
_cell_length_a 4.777
_cell_length_b 4.777
_cell_length_c 6.656
_cell_angle_alpha 90.00
_cell_angle_beta 90.00
_cell_angle_gamma 90.00
_space_group_name_H-M_alt 'P 4/m m m'
_space_group_IT_number 123
_space_group_name_Hall '-P 4 2'
loop_
_atom_site_label
_atom_site_type_symbol
_atom_site_fract_x
_atom_site_fract_y
_atom_site_fract_z
K1 K 0.000 0.000 0.000
Mg1 Mg 0.500 0.500 0.000
Re1 Re 0.000 0.000 0.500
Cl1 Cl 0.000 0.500 0.500
```

Summary:
The final energy comes out at -3.2901 eV per atom.

No. 3
## Mn3HgS (GGA-PBE)

Data for crystalline Mn3HgS at its relaxed geometry.

Cell and atoms, written as CIF:
```
data_Mn3HgS
_chemical_formula_sum 'Mn3 Hg1 S1'
_cell_length_a 5.028
_cell_length_b 5.028
_cell_length_c 5.028
_cell_angle_alpha 90.00
_cell_angle_beta 90.00
_cell_angle_gamma 90.00
_space_group_name_H-M_alt 'P m -3 m'
_space_group_IT_number 221
_space_group_name_Hall '-P 4 2 3'
loop_
_atom_site_label
_atom_site_type_symbol
_atom_site_fract_x
_atom_site_fract_y
_atom_site_fract_z
Mn1 Mn 0.000 0.000 0.500
Hg1 Hg 0.000 0.000 0.000
S1 S 0.500 0.500 0.500
```

Summary:
As for the energy above the most stable polymorph in this dataset: 960.7 meV/atom.

No. 4
## LiCd7Hg12 (GGA-PBE)

Data for crystalline LiCd7Hg12 at its relaxed geometry.

Cell and atoms, written as CIF:
```
data_LiCd7Hg12
_chemical_formula_sum 'Li3 Cd21 Hg36'
_cell_length_a 12.8333
_cell_length_b 12.8333
_cell_length_c 10.4477
_cell_angle_alpha 90.00
_cell_angle_beta 90.00
_cell_angle_gamma 120.00
_space_group_name_H-M_alt 'R -3'
_space_group_IT_number 148
_space_group_name_Hall '-R 3'
loop_
_atom_site_label
_atom_site_type_symbol
_atom_site_fract_x
_atom_site_fract_y
_atom_site_fract_z
Li1 Li 0.0000 0.0000 0.0000
Cd1 Cd 0.0000 0.0000 0.5000
Cd2 Cd 0.0015 0.1397 0.2392
Hg1 Hg 0.0408 0.7888 0.4294
Hg2 Hg 0.0691 0.4768 0.6341
```

Summary:
The calculation puts the formation energy from the elements at -0.01 eV per atom.

No. 5
## KBeGa2 (GGA-PBE)

Data for crystalline KBeGa2 at its relaxed geometry.

Cell and atoms, written as CIF:
```
data_KBeGa2
_chemical_formula_sum 'K4 Be4 Ga8'
_cell_length_a 13.632
_cell_length_b 3.989
_cell_length_c 6.964
_cell_angle_alpha 90.00
_cell_angle_beta 106.39
_cell_angle_gamma 90.00
_space_group_name_H-M_alt 'C 1 m 1'
_space_group_IT_number 8
loop_
_space_group_symop_operation_xyz
'x,y,z'
'x,-y,z'
'x+1/2,y+1/2,z'
'x+1/2,-y+1/2,z'
loop_
_atom_site_label
_atom_site_type_symbol
_atom_site_fract_x
_atom_site_fract_y
_atom_site_fract_z
K1 K 0.000 0.000 0.000
K2 K 0.001 0.000 0.500
Be1 Be 0.240 0.500 0.576
Be2 Be 0.262 0.000 0.428
Ga1 Ga 0.170 0.500 0.860
Ga2 Ga 0.219 0.500 0.239
Ga3 Ga 0.282 0.000 0.764
Ga4 Ga 0.330 0.000 0.143
```

Summary:
The calculation puts the formation energy from the elements at 0.03 eV per atom.

No. 6
## NaLa2AlIr (GGA-PBE)

Data for crystalline NaLa2AlIr at its relaxed geometry.

Cell and atoms, written as CIF:
```
data_NaLa2AlIr
_chemical_formula_sum 'Na1 La2 Al1 Ir1'
_cell_length_a 5.649
_cell_length_b 5.649
_cell_length_c 4.915
_cell_angle_alpha 90.00
_cell_angle_beta 90.00
_cell_angle_gamma 90.00
_space_group_name_H-M_alt 'P 4/m m m'
_space_group_IT_number 123
_space_group_name_Hall '-P 4 2'
loop_
_atom_site_label
_atom_site_type_symbol
_atom_site_fract_x
_atom_site_fract_y
_atom_site_fract_z
Na1 Na 0.000 0.000 0.000
La1 La 0.000 0.500 0.500
Al1 Al 0.500 0.500 0.000
Ir1 Ir 0.500 0.500 0.500
```

Summary:
The calculation puts the formation energy from the elements at -0.35 eV per atom.